Here is a relaxed SrAsAu2 crystal from Alexandria. Energies are from PBE.

Cell and atoms, written as POSCAR:
```
SrAsAu2
1.0
4.182 0.000 0.000
0.000 4.545 0.000
-0.014 0.000 5.468
Sr As Au
1 1 2
Direct
0.000 0.000 0.000
0.500 0.000 0.500
0.500 0.500 0.245
0.500 0.500 0.755
```

magnetic moment	0.0	μB/cell
symmetry	P2/m (10)
N(E_F)	1.68	states/eV per cell
calculated total energy	-15.01	eV per formula unit
ΔE_f	-0.530	eV per atom